This record from Alexandria via LeMat-Bulk describes an optimized crystal structure of Rb2SnPb4Au3. The functional is PBE.

final energy	-0.1185	hartree per atom
formation energy from the elements	-0.16	eV/atom
total magnetic moment	0.000	μB/atom
space-group type	No. 115

abc: 5.0836 5.0836 12.1478
angles: 90.00 90.00 90.00
Closest atoms and distances in Å follow each position.
Element x y z (fractional)
Rb 0.0000 0.5000 0.2477  8 Pb 3.83-3.98, 6 Au 3.91-3.94, 2 Sn 3.94
Rb 0.5000 0.0000 0.7523  8 Pb 3.83-3.98, 6 Au 3.91-3.94, 2 Sn 3.94
Sn 0.5000 0.5000 0.0000  4 Pb 3.04
Pb 0.0000 0.0000 0.5000  4 Au 2.96
Pb 0.0000 0.5000 0.8623  3 Au 2.88-3.04, 2 Sn 3.04
Pb 0.5000 0.0000 0.1377  3 Au 2.88-3.04, 2 Sn 3.04
Pb 0.5000 0.5000 0.5000  4 Au 2.96
Au 0.0000 0.0000 0.0000  4 Pb 3.04
Au 0.0000 0.5000 0.6250  5 Pb 2.88-2.96
Au 0.5000 0.0000 0.3750  5 Pb 2.88-2.96

This record from Alexandria via LeMat-Bulk describes an optimized crystal structure of RbTe2PbAu. The functional is PBE.

raw formation energy	-238	kJ/mol of formula units
final energy	-0.1228	hartree per atom
total magnetic moment	0.000	μB/atom
space-group type	No. 67

abc: 9.0471 9.0471 6.3393
angles: 90.00 90.00 129.73
Closest atoms and distances in Å follow each position.
Element x y z (fractional)
Rb 0.2500 0.7500 0.7611  4 Te 3.73-3.80
Rb 0.7500 0.2500 0.2389  4 Te 3.73-3.80
Te 0.1259 0.8741 0.2547  1 Au 2.62
Te 0.3741 0.6259 0.2547  1 Au 2.62
Te 0.6259 0.3741 0.7453  1 Au 2.62
Te 0.8741 0.1259 0.7453  1 Au 2.62
Pb 0.2500 0.2500 0.5000  4 Te 3.22
Pb 0.7500 0.7500 0.5000  4 Te 3.22
Au 0.0000 0.0000 0.0000  2 Te 2.62
Au 0.5000 0.5000 0.0000  2 Te 2.62

This record from Alexandria via LeMat-Bulk describes an optimized crystal structure of Rb2TlPb4Au3. The functional is PBE.

final energy	-0.1120	hartree per atom
formation energy from the elements	-0.15	eV/atom
total magnetic moment	0.000	μB/atom
space-group type	No. 115

abc: 5.1887 5.1887 11.8517
angles: 90.00 90.00 90.00
Closest atoms and distances in Å follow each position.
Element x y z (fractional)
Rb 0.0000 0.5000 0.2461  8 Pb 3.89-3.97, 2 Tl 3.90, 6 Au 3.90-3.99
Rb 0.5000 0.0000 0.7539  8 Pb 3.89-3.97, 2 Tl 3.90, 6 Au 3.90-3.99
Tl 0.5000 0.5000 0.0000  4 Pb 3.06
Pb 0.0000 0.0000 0.5000  4 Au 2.97
Pb 0.0000 0.5000 0.8635  3 Au 2.86-3.06, 2 Tl 3.06
Pb 0.5000 0.0000 0.1365  3 Au 2.86-3.06, 2 Tl 3.06
Pb 0.5000 0.5000 0.5000  4 Au 2.97
Au 0.0000 0.0000 0.0000  4 Pb 3.06
Au 0.0000 0.5000 0.6222  5 Pb 2.86-2.97
Au 0.5000 0.0000 0.3778  5 Pb 2.86-2.97

This record from Alexandria via LeMat-Bulk describes an optimized crystal structure of Rb2Tl2PbAu. The functional is PBE.

final energy	-0.0888	hartree per atom
formation energy from the elements	-0.14	eV/atom
total magnetic moment	0.000	μB/atom
space-group type	No. 72

abc: 9.8668 9.8668 9.8668
angles: 134.24 64.57 137.03
Closest atoms and distances in Å follow each position.
Element x y z (fractional)
Rb 0.1642 0.2480 0.4122  4 Tl 3.74-3.97, 2 Au 3.79, 2 Pb 3.81
Rb 0.3358 0.7480 0.0838  4 Tl 3.74-3.97, 2 Au 3.79, 2 Pb 3.81
Rb 0.6642 0.2520 0.9162  4 Tl 3.74-3.97, 2 Au 3.79, 2 Pb 3.81
Rb 0.8358 0.7520 0.5878  4 Tl 3.74-3.97, 2 Au 3.79, 2 Pb 3.81
Tl 0.0986 0.7822 0.8808  2 Au 2.96, 2 Pb 3.26
Tl 0.4014 0.2822 0.6836  2 Au 2.96, 2 Pb 3.26
Tl 0.5986 0.7178 0.3164  2 Au 2.96, 2 Pb 3.26
Tl 0.9014 0.2178 0.1192  2 Au 2.96, 2 Pb 3.26
Pb 0.2500 0.7500 0.5000  4 Tl 3.26, 2 Pb 3.61
Pb 0.7500 0.2500 0.5000  4 Tl 3.26, 2 Pb 3.61
Au 0.2500 0.2500 0.0000  4 Tl 2.96
Au 0.7500 0.7500 0.0000  4 Tl 2.96

This record from Alexandria via LeMat-Bulk describes an optimized crystal structure of RbTl4PbAu2. The functional is PBE.

final energy	-0.0942	hartree per atom
formation energy from the elements	0.02	eV/atom
total magnetic moment	0.000	μB/atom
space-group type	No. 123

abc: 5.6909 5.6909 8.7633
angles: 90.00 90.00 90.00
Closest atoms and distances in Å follow each position.
Element x y z (fractional)
Rb 0.0000 0.0000 0.0000  8 Tl 3.85
Tl 0.0000 0.5000 0.2953  2 Au 2.87
Tl 0.0000 0.5000 0.7047  2 Au 2.87
Tl 0.5000 0.0000 0.2953  2 Au 2.87
Tl 0.5000 0.0000 0.7047  2 Au 2.87
Pb 0.0000 0.0000 0.5000  8 Tl 3.36
Au 0.5000 0.5000 0.3418  1 Au 2.77, 4 Tl 2.87
Au 0.5000 0.5000 0.6582  1 Au 2.77, 4 Tl 2.87

This record from Alexandria via LeMat-Bulk describes an optimized crystal structure of Rb2Tl3PbAu4. The functional is PBE.

final energy	-0.1014	hartree per atom
formation energy from the elements	-0.17	eV/atom
total magnetic moment	0.000	μB/atom
space-group type	No. 115

abc: 5.2623 5.2623 11.0816
angles: 90.00 90.00 90.00
Closest atoms and distances in Å follow each position.
Element x y z (fractional)
Rb 0.0000 0.5000 0.2350  8 Au 3.70-4.06, 7 Tl 3.93-3.94, 2 Pb 3.94
Rb 0.5000 0.0000 0.7650  8 Au 3.70-4.06, 7 Tl 3.93-3.94, 2 Pb 3.94
Tl 0.0000 0.5000 0.8807  5 Au 2.90-2.94
Tl 0.5000 0.0000 0.1193  5 Au 2.90-2.94
Tl 0.5000 0.5000 0.5000  4 Au 2.94
Pb 0.0000 0.0000 0.5000  4 Au 2.94
Au 0.0000 0.0000 0.0000  4 Tl 2.94
Au 0.0000 0.5000 0.6192  3 Tl 2.90-2.94, 2 Pb 2.94
Au 0.5000 0.0000 0.3808  3 Tl 2.90-2.94, 2 Pb 2.94
Au 0.5000 0.5000 0.0000  4 Tl 2.94